(1)
Computed, not measured: a geometry-optimized Cs2PmUTe6 structure at the PBE level of DFT.

Calculated values
- volume (Å³ per cell) = 860
- size of the total moment (μB per atom) = 0.001
- ΔE_f (raw) (eV/atom) = -0.892

Cell: 8.4720 11.9861 8.4733 Å, 90.00 90.00 90.00°
With the nearest neighbours (Å) after each atom.
Sites, in units of the cell vectors:
Cs 0.2500 0.0000 0.2504  12 Te 4.23-4.24
Cs 0.2500 0.5000 0.2504  12 Te 4.23-4.24
Cs 0.7500 0.0000 0.7496  12 Te 4.23-4.24
Cs 0.7500 0.5000 0.7496  12 Te 4.23-4.24
Pm 0.2500 0.2500 0.7495  6 Te 3.09
Pm 0.7500 0.7500 0.2505  6 Te 3.09
U 0.2500 0.7500 0.7505  6 Te 2.90
U 0.7500 0.2500 0.2495  6 Te 2.90
Te 0.0080 0.7500 0.5084  1 U 2.90, 1 Pm 3.09
Te 0.0080 0.7500 0.9925  1 U 2.90, 1 Pm 3.09
Te 0.2500 0.5082 0.7502  1 U 2.90, 1 Pm 3.09
Te 0.2500 0.9918 0.7502  1 U 2.90, 1 Pm 3.09
Te 0.4920 0.7500 0.5084  1 U 2.90, 1 Pm 3.09
Te 0.4920 0.7500 0.9925  1 U 2.90, 1 Pm 3.09
Te 0.5080 0.2500 0.0075  1 U 2.90, 1 Pm 3.09
Te 0.5080 0.2500 0.4916  1 U 2.90, 1 Pm 3.09
Te 0.7500 0.0082 0.2498  1 U 2.90, 1 Pm 3.09
Te 0.7500 0.4918 0.2498  1 U 2.90, 1 Pm 3.09
Te 0.9920 0.2500 0.0075  1 U 2.90, 1 Pm 3.09
Te 0.9920 0.2500 0.4916  1 U 2.90, 1 Pm 3.09

---

(2)
Computed, not measured: a geometry-optimized Er2Tm7Sc structure at the PBE level of DFT.

Calculated values
- volume (Å³ per cell) = 338
- size of the total moment (μB per atom) = 0.000
- energy above the lowest structure with this stoichiometry (kJ/mol of formula units) = 320.2

Cell: 10.7243 10.7243 3.3846 Å, 90.00 90.00 119.63°
With the nearest neighbours (Å) after each atom.
Sites, in units of the cell vectors:
Er 0.1746 0.8254 0.0000  5 Tm 3.24-3.35, 2 Er 3.38
Er 0.8254 0.1746 0.0000  5 Tm 3.24-3.35, 2 Er 3.38
Tm 0.0000 0.0000 0.0000  2 Er 3.24, 6 Tm 3.38-3.39
Tm 0.1848 0.3637 0.0000  6 Tm 3.32-3.39, 1 Er 3.35, 2 Sc 3.40
Tm 0.3258 0.6742 0.5000  1 Sc 3.23, 2 Er 3.28, 6 Tm 3.36-3.38
Tm 0.3637 0.1848 0.0000  6 Tm 3.32-3.39, 1 Er 3.35, 2 Sc 3.40
Tm 0.6363 0.8152 0.0000  6 Tm 3.32-3.39, 1 Er 3.35, 2 Sc 3.40
Tm 0.6742 0.3258 0.5000  1 Sc 3.23, 2 Er 3.28, 6 Tm 3.36-3.38
Tm 0.8152 0.6363 0.0000  6 Tm 3.32-3.39, 1 Er 3.35, 2 Sc 3.40
Sc 0.5000 0.5000 0.5000  10 Tm 3.23-3.40, 2 Sc 3.38

---

(3)
Computed, not measured: a geometry-optimized Hf3NiIr2 structure at the PBE level of DFT.

Calculated values
- volume (Å³ per cell) = 431
- size of the total moment (μB per atom) = 0.000

Cell: 10.7306 4.3524 9.2253 Å, 90.00 90.00 90.00°
With the nearest neighbours (Å) after each atom.
Sites, in units of the cell vectors:
Hf 0.0508 0.2500 0.1181  1 Ni 2.64, 5 Ir 2.69-2.80
Hf 0.1089 0.7500 0.5744  3 Ni 2.62-2.78, 3 Ir 2.74-2.76
Hf 0.2302 0.2500 0.8005  3 Ir 2.67-2.87, 2 Ni 2.75
Hf 0.2698 0.7500 0.3005  3 Ir 2.67-2.87, 2 Ni 2.75
Hf 0.3911 0.2500 0.0744  3 Ni 2.62-2.78, 3 Ir 2.74-2.76
Hf 0.4492 0.7500 0.6181  1 Ni 2.64, 5 Ir 2.69-2.80
Hf 0.5508 0.2500 0.3819  1 Ni 2.64, 5 Ir 2.69-2.80
Hf 0.6089 0.7500 0.9256  3 Ni 2.62-2.78, 3 Ir 2.74-2.76
Hf 0.7302 0.2500 0.6995  3 Ir 2.67-2.87, 2 Ni 2.75
Hf 0.7698 0.7500 0.1995  3 Ir 2.67-2.87, 2 Ni 2.75
Hf 0.8911 0.2500 0.4256  3 Ni 2.62-2.78, 3 Ir 2.74-2.76
Hf 0.9492 0.7500 0.8819  1 Ni 2.64, 5 Ir 2.69-2.80
Ni 0.1327 0.2500 0.3884  1 Ir 2.42, 2 Hf 2.62-2.64
Ni 0.3673 0.7500 0.8884  1 Ir 2.42, 2 Hf 2.62-2.64
Ni 0.6327 0.2500 0.1116  1 Ir 2.42, 2 Hf 2.62-2.64
Ni 0.8673 0.7500 0.6116  1 Ir 2.42, 2 Hf 2.62-2.64
Ir 0.0026 0.7500 0.3014  7 Hf 2.67-2.87, 2 Ni 2.71
Ir 0.1747 0.7500 0.0240  1 Ni 2.42, 2 Hf 2.69
Ir 0.3253 0.2500 0.5240  1 Ni 2.42, 2 Hf 2.69
Ir 0.4974 0.2500 0.8014  7 Hf 2.67-2.87, 2 Ni 2.71
Ir 0.5026 0.7500 0.1986  7 Hf 2.67-2.87, 2 Ni 2.71
Ir 0.6747 0.7500 0.4760  1 Ni 2.42, 2 Hf 2.69
Ir 0.8253 0.2500 0.9760  1 Ni 2.42, 2 Hf 2.69
Ir 0.9974 0.2500 0.6986  7 Hf 2.67-2.87, 2 Ni 2.71

---

(4)
Computed, not measured: a geometry-optimized PmHoGePb structure at the PBE level of DFT.

Calculated values
- volume (Å³ per cell) = 427
- size of the total moment (μB per atom) = 0.000

Cell: 7.5288 7.5288 7.5288 Å, 90.00 90.00 90.00°
With the nearest neighbours (Å) after each atom.
Sites, in units of the cell vectors:
Pm 0.0000 0.0000 0.0000  4 Ge 3.26, 4 Pb 3.26
Pm 0.0000 0.5000 0.5000  4 Ge 3.26, 4 Pb 3.26
Pm 0.5000 0.0000 0.5000  4 Ge 3.26, 4 Pb 3.26
Pm 0.5000 0.5000 0.0000  4 Ge 3.26, 4 Pb 3.26
Ho 0.0000 0.0000 0.5000  4 Pb 3.26, 4 Ge 3.26
Ho 0.0000 0.5000 0.0000  4 Pb 3.26, 4 Ge 3.26
Ho 0.5000 0.0000 0.0000  4 Pb 3.26, 4 Ge 3.26
Ho 0.5000 0.5000 0.5000  4 Pb 3.26, 4 Ge 3.26
Ge 0.2500 0.2500 0.2500  4 Ho 3.26, 4 Pm 3.26
Ge 0.2500 0.7500 0.7500  4 Ho 3.26, 4 Pm 3.26
Ge 0.7500 0.2500 0.7500  4 Ho 3.26, 4 Pm 3.26
Ge 0.7500 0.7500 0.2500  4 Ho 3.26, 4 Pm 3.26
Pb 0.2500 0.2500 0.7500  4 Pm 3.26, 4 Ho 3.26
Pb 0.2500 0.7500 0.2500  4 Ho 3.26, 4 Pm 3.26
Pb 0.7500 0.2500 0.2500  4 Ho 3.26, 4 Pm 3.26
Pb 0.7500 0.7500 0.7500  4 Pm 3.26, 4 Ho 3.26

---

(5)
Computed, not measured: a geometry-optimized Na3Tb2YSe6 structure at the PBE level of DFT.

Calculated values
- volume (Å³ per cell) = 315
- size of the total moment (μB per atom) = 0.000
- ΔE_f (raw) (eV/atom) = -1.711

Cell: 7.2022 7.2022 7.4120 Å, 99.31 99.31 120.01°
With the nearest neighbours (Å) after each atom.
Sites, in units of the cell vectors:
Na 0.0000 0.0000 0.0000  6 Se 3.05-3.06
Na 0.3335 0.6665 0.0000  6 Se 3.05-3.06
Na 0.6665 0.3335 0.0000  6 Se 3.05-3.06
Tb 0.1667 0.8333 0.5000  6 Se 2.89-2.90
Tb 0.8333 0.1667 0.5000  6 Se 2.89-2.90
Y 0.5000 0.5000 0.5000  6 Se 2.89
Se 0.0906 0.4233 0.2698  1 Y 2.89, 2 Tb 2.89-2.90, 3 Na 3.05-3.06
Se 0.2441 0.2441 0.7301  1 Y 2.89, 2 Tb 2.89, 3 Na 3.05-3.06
Se 0.4233 0.0906 0.2698  1 Y 2.89, 2 Tb 2.89-2.90, 3 Na 3.05-3.06
Se 0.5767 0.9094 0.7302  1 Y 2.89, 2 Tb 2.89-2.90, 3 Na 3.05-3.06
Se 0.7559 0.7559 0.2699  1 Y 2.89, 2 Tb 2.89, 3 Na 3.05-3.06
Se 0.9094 0.5767 0.7302  1 Y 2.89, 2 Tb 2.89-2.90, 3 Na 3.05-3.06

---

(6)
Computed, not measured: a geometry-optimized Ce2NdInIr structure at the PBE level of DFT.

Calculated values
- volume (Å³ per cell) = 164
- size of the total moment (μB per atom) = 0.360

Cell: 5.3358 5.3358 5.7511 Å, 90.00 90.00 90.00°
With the nearest neighbours (Å) after each atom.
Sites, in units of the cell vectors:
Ce 0.0000 0.5000 0.0000  2 Ir 2.67
Ce 0.5000 0.0000 0.0000  2 Ir 2.67
Nd 0.0000 0.0000 0.5003  2 Ir 2.88
In 0.5000 0.5000 0.5017  4 Nd 3.77, 8 Ce 3.92-3.93
Ir 0.0000 0.0000 0.0003  4 Ce 2.67, 2 Nd 2.88

---

(7)
Computed, not measured: a geometry-optimized TbY4Ho structure at the PBE level of DFT.

Calculated values
- volume (Å³ per cell) = 227
- size of the total moment (μB per atom) = 0.000
- energy above the lowest structure with this stoichiometry (kJ/mol of formula units) = 338.3

Cell: 5.4362 5.4362 7.6978 Å, 90.00 90.00 90.00°
With the nearest neighbours (Å) after each atom.
Sites, in units of the cell vectors:
Tb 0.0000 0.0000 0.0000  8 Y 3.33
Y 0.0000 0.5000 0.2508  2 Ho 3.33, 2 Tb 3.33
Y 0.0000 0.5000 0.7492  2 Ho 3.33, 2 Tb 3.33
Y 0.5000 0.0000 0.2508  2 Ho 3.33, 2 Tb 3.33
Y 0.5000 0.0000 0.7492  2 Ho 3.33, 2 Tb 3.33
Ho 0.5000 0.5000 0.5000  8 Y 3.33

---

(8)
Computed, not measured: a geometry-optimized SrAcP2Pd2 structure at the PBE level of DFT.

Calculated values
- volume (Å³ per cell) = 136
- size of the total moment (μB per atom) = 0.000

Cell: 4.2700 4.2700 8.6021 Å, 90.00 90.00 120.00°
With the nearest neighbours (Å) after each atom.
Sites, in units of the cell vectors:
Sr 0.0000 0.0000 0.0000  6 Pd 3.27, 6 P 3.30
Ac 0.0000 0.0000 0.5000  6 P 3.24, 6 Pd 3.28
P 0.3333 0.6667 0.7449  3 Pd 2.47
P 0.6667 0.3333 0.2551  3 Pd 2.47
Pd 0.3333 0.6667 0.2491  3 P 2.47
Pd 0.6667 0.3333 0.7509  3 P 2.47

---

(9)
Computed, not measured: a geometry-optimized AcPm2HoEr5 structure at the PBE level of DFT.

Calculated values
- volume (Å³ per cell) = 600
- size of the total moment (μB per atom) = 0.000

Cell: 9.9117 9.9117 9.9117 Å, 127.10 127.10 78.09°
With the nearest neighbours (Å) after each atom.
Sites, in units of the cell vectors:
Ac 0.2500 0.2500 0.0000  10 Er 3.65-3.85
Ac 0.7500 0.7500 0.0000  10 Er 3.65-3.85
Pm 0.1159 0.6159 0.7318  1 Pm 2.89, 2 Er 3.01
Pm 0.3841 0.1159 0.5000  1 Pm 2.89, 2 Er 3.01
Pm 0.6159 0.8841 0.5000  1 Pm 2.89, 2 Er 3.01
Pm 0.8841 0.3841 0.2682  1 Pm 2.89, 2 Er 3.01
Ho 0.2500 0.7500 0.5000  4 Er 3.15
Ho 0.7500 0.2500 0.5000  4 Er 3.15
Er 0.0000 0.0000 0.0000  4 Pm 3.54, 8 Er 3.77, 2 Ac 3.85
Er 0.0745 0.1613 0.5000  1 Pm 3.01, 1 Ho 3.15
Er 0.1613 0.6613 0.0869  1 Pm 3.01, 1 Ho 3.15
Er 0.3387 0.4255 0.5000  1 Pm 3.01, 1 Ho 3.15
Er 0.4255 0.9255 0.0869  1 Pm 3.01, 1 Ho 3.15
Er 0.5000 0.5000 0.0000  4 Pm 3.54, 8 Er 3.77, 2 Ac 3.85
Er 0.5745 0.0745 0.9131  1 Pm 3.01, 1 Ho 3.15
Er 0.6613 0.5745 0.5000  1 Pm 3.01, 1 Ho 3.15
Er 0.8387 0.3387 0.9131  1 Pm 3.01, 1 Ho 3.15
Er 0.9255 0.8387 0.5000  1 Pm 3.01, 1 Ho 3.15

---

(10)
Computed, not measured: a geometry-optimized Li2SnHPb structure at the PBE level of DFT.

Calculated values
- volume (Å³ per cell) = 93
- size of the total moment (μB per atom) = 0.000

Cell: 4.4227 4.4227 4.7483 Å, 90.00 90.00 90.00°
With the nearest neighbours (Å) after each atom.
Sites, in units of the cell vectors:
Li 0.0000 0.5000 0.0000  2 H 2.21
Li 0.5000 0.0000 0.0000  2 H 2.21
Sn 0.0000 0.0000 0.5000  2 H 2.37
H 0.0000 0.0000 0.0000  4 Li 2.21, 2 Sn 2.37
Pb 0.5000 0.5000 0.5000  4 Sn 3.13, 8 Li 3.24

---

(11)
Computed, not measured: a geometry-optimized KRe2Te structure at the PBE level of DFT.

Calculated values
- volume (Å³ per cell) = 240
- size of the total moment (μB per atom) = 0.000
- ΔE_f (raw) (eV/atom) = 0.903

Cell: 13.0597 3.3918 5.8522 Å, 90.00 112.09 90.00°
With the nearest neighbours (Å) after each atom.
Sites, in units of the cell vectors:
K 0.0000 0.0000 0.0000  4 Te 3.38, 2 K 3.39, 2 Re 3.55
K 0.5000 0.5000 0.0000  4 Te 3.38, 2 K 3.39, 2 Re 3.55
Re 0.2186 0.5000 0.5927  2 Re 2.32
Re 0.2814 0.0000 0.4073  2 Re 2.32
Re 0.7186 0.0000 0.5927  2 Re 2.32
Re 0.7814 0.5000 0.4073  2 Re 2.32
Te 0.0000 0.5000 0.5000  2 Re 2.70
Te 0.5000 0.0000 0.5000  2 Re 2.70

---

(12)
Computed, not measured: a geometry-optimized TiCo3H structure at the PBE level of DFT.

Calculated values
- volume (Å³ per cell) = 130
- size of the total moment (μB per atom) = 0.565
- energy above the lowest structure with this stoichiometry (kJ/mol of formula units) = 322.7

Cell: 6.6969 6.6969 4.4474 Å, 90.00 90.00 139.23°
With the nearest neighbours (Å) after each atom.
Sites, in units of the cell vectors:
Ti 0.1898 0.8102 0.7500  8 Co 2.41-2.63
Ti 0.8102 0.1898 0.2500  8 Co 2.41-2.63
Co 0.0000 0.0000 0.0000  6 Co 2.22-2.41
Co 0.0000 0.0000 0.5000  6 Co 2.22-2.41
Co 0.1105 0.3944 0.7500  1 H 1.63
Co 0.3944 0.1105 0.2500  1 H 1.63
Co 0.6056 0.8895 0.7500  1 H 1.63
Co 0.8895 0.6056 0.2500  1 H 1.63
H 0.4491 0.5509 0.7500  2 Co 1.63
H 0.5509 0.4491 0.2500  2 Co 1.63

---

Total energy (computed, eV per cell): -91.0; -41.6; -231.0; -77.5; -61.1; -29.8; -30.7; -33.8; -77.3; -15.6; -51.0; -61.2